(1)
Density functional theory data (GGA-PBE) for a relaxed Er5AlTc2 crystal.

Cell and atoms, written as CIF:
```
data_Er5AlTc2
_cell_length_a 7.452
_cell_length_b 7.452
_cell_length_c 14.288
_cell_angle_alpha 90.00
_cell_angle_beta 90.00
_cell_angle_gamma 90.00
_symmetry_space_group_name_H-M 'I 4/m c m'
_symmetry_Int_Tables_number 140
_symmetry_space_group_name_Hall '-I 4 2c'
loop_
_atom_site_label
_atom_site_fract_x
_atom_site_fract_y
_atom_site_fract_z
Er1 0.000 0.000 0.000
Er2 0.174 0.326 0.140
Al1 0.000 0.000 0.250
Tc1 0.117 0.383 0.500
```

E_form = -137 meV/atom
Spin magnetization = 0.00 μB/cell
Calculated density = 8.87 g cm⁻³

***

(2)
Density functional theory data (GGA-PBE) for a relaxed SrCa2Be crystal.

Cell and atoms, written as CIF:
```
data_SrCa2Be
_cell_length_a 6.967
_cell_length_b 11.904
_cell_length_c 3.789
_cell_angle_alpha 90.00
_cell_angle_beta 117.49
_cell_angle_gamma 90.00
_symmetry_space_group_name_H-M 'C 1 2/m 1'
_symmetry_Int_Tables_number 12
loop_
_symmetry_equiv_pos_as_xyz
'x,y,z'
'-x,-y,-z'
'-x,y,-z'
'x,-y,z'
'x+1/2,y+1/2,z'
'-x+1/2,-y+1/2,-z'
'-x+1/2,y+1/2,-z'
'x+1/2,-y+1/2,z'
loop_
_atom_site_label
_atom_site_fract_x
_atom_site_fract_y
_atom_site_fract_z
Sr1 0.000 0.000 0.000
Ca1 0.250 0.250 0.500
Be1 0.000 0.500 0.000
```

E_form = 538 meV/atom
Spin magnetization = 0.00 μB/cell
Calculated density = 2.11 g cm⁻³

***

(3)
Density functional theory data (GGA-PBE) for a relaxed ScMo2P crystal.

Cell and atoms, written as CIF:
```
data_ScMo2P
_cell_length_a 3.379
_cell_length_b 4.831
_cell_length_c 8.078
_cell_angle_alpha 90.00
_cell_angle_beta 90.00
_cell_angle_gamma 90.00
_symmetry_space_group_name_H-M 'C m m m'
_symmetry_Int_Tables_number 65
_symmetry_space_group_name_Hall '-C 2 2'
loop_
_atom_site_label
_atom_site_fract_x
_atom_site_fract_y
_atom_site_fract_z
Sc1 0.000 0.000 0.000
Mo1 0.000 0.500 0.291
P1 0.000 0.000 0.500
```

E_form = -42 meV/atom
Spin magnetization = 0.00 μB/cell
Calculated density = 6.74 g cm⁻³

***

(4)
Density functional theory data (GGA-PBE) for a relaxed DyPuPd4 crystal.

Cell and atoms, written as CIF:
```
data_DyPuPd4
_cell_length_a 5.213
_cell_length_b 5.944
_cell_length_c 7.347
_cell_angle_alpha 90.00
_cell_angle_beta 93.93
_cell_angle_gamma 90.00
_symmetry_space_group_name_H-M 'P 1 21/m 1'
_symmetry_Int_Tables_number 11
loop_
_symmetry_equiv_pos_as_xyz
'x,y,z'
'-x,-y,-z'
'-x,y+1/2,-z'
'x,-y+1/2,z'
loop_
_atom_site_label
_atom_site_fract_x
_atom_site_fract_y
_atom_site_fract_z
Dy1 0.130 0.250 0.348
Pu1 0.482 0.750 0.023
Pd1 0.000 0.000 0.000
Pd2 0.146 0.750 0.327
Pd3 0.357 0.505 0.657
```

E_form = -656 meV/atom
Spin magnetization = 11.33 μB/cell
E above lowest polymorph = 3 meV/atom
Calculated density = 12.17 g cm⁻³